Version 1
The following is a DFT calculation (PBE-GGA) of a relaxed BaSrCa2 crystal.

Summary:
ρ in Mg/m³: 2.54
Crystal system: trigonal

Geometry as CIF:
```
data_BaSrCa2
_chemical_formula_sum 'Ba1 Sr1 Ca2'
_cell_length_a 13.642
_cell_length_b 13.642
_cell_length_c 13.642
_cell_angle_alpha 17.45
_cell_angle_beta 17.45
_cell_angle_gamma 17.45
_symmetry_space_group_name_H-M 'P 1'
_symmetry_Int_Tables_number 1
loop_
_symmetry_equiv_pos_as_xyz
'x,y,z'
loop_
_atom_site_label
_atom_site_type_symbol
_atom_site_fract_x
_atom_site_fract_y
_atom_site_fract_z
Ca1 Ca 0.253 0.253 0.253
Ca2 Ca 0.995 0.995 0.995
Sr1 Sr 0.504 0.504 0.504
Ba1 Ba 0.747 0.747 0.747
```

=====

Version 2
The following is a DFT calculation (PBE-GGA) of a relaxed BaSrCa2 crystal.

Summary:
ρ in Mg/m³: 2.51
Crystal system: orthorhombic

Geometry as CIF:
```
data_BaSrCa2
_chemical_formula_sum 'Ba1 Sr1 Ca2'
_cell_length_a 5.903
_cell_length_b 5.914
_cell_length_c 5.779
_cell_angle_alpha 90.00
_cell_angle_beta 90.00
_cell_angle_gamma 90.00
_symmetry_space_group_name_H-M 'P 1'
_symmetry_Int_Tables_number 1
loop_
_symmetry_equiv_pos_as_xyz
'x,y,z'
loop_
_atom_site_label
_atom_site_type_symbol
_atom_site_fract_x
_atom_site_fract_y
_atom_site_fract_z
Ca1 Ca 0.500 0.500 0.000
Ca2 Ca 0.000 0.000 0.000
Ba1 Ba 0.000 0.500 0.500
Sr1 Sr 0.500 0.000 0.500
```

=====

Version 3
The following is a DFT calculation (PBE-GGA) of a relaxed BaSrCa2 crystal.

Summary:
ρ in Mg/m³: 2.55
Crystal system: orthorhombic

Geometry as CIF:
```
data_BaSrCa2
_chemical_formula_sum 'Ba1 Sr1 Ca2'
_cell_length_a 7.512
_cell_length_b 7.512
_cell_length_c 7.512
_cell_angle_alpha 142.08
_cell_angle_beta 129.46
_cell_angle_gamma 64.89
_symmetry_space_group_name_H-M 'P 1'
_symmetry_Int_Tables_number 1
loop_
_symmetry_equiv_pos_as_xyz
'x,y,z'
loop_
_atom_site_label
_atom_site_type_symbol
_atom_site_fract_x
_atom_site_fract_y
_atom_site_fract_z
Ca1 Ca 0.504 0.504 0.000
Ca2 Ca 0.996 0.996 0.000
Ba1 Ba 0.250 0.750 0.500
Sr1 Sr 0.750 0.250 0.500
```

=====

Most stable = version 2

=====

Version 1
The following is a DFT calculation (PBE-GGA) of a relaxed BaSrCa2 crystal.

Summary:
ρ in Mg/m³: 2.54
Crystal system: trigonal

Geometry as CIF:
```
data_BaSrCa2
_chemical_formula_sum 'Ba1 Sr1 Ca2'
_cell_length_a 4.125
_cell_length_b 4.125
_cell_length_c 13.740
_cell_angle_alpha 81.37
_cell_angle_beta 81.37
_cell_angle_gamma 60.00
_symmetry_space_group_name_H-M 'P 1'
_symmetry_Int_Tables_number 1
loop_
_symmetry_equiv_pos_as_xyz
'x,y,z'
loop_
_atom_site_label
_atom_site_type_symbol
_atom_site_fract_x
_atom_site_fract_y
_atom_site_fract_z
Ba1 Ba 0.500 0.500 0.501
Sr1 Sr 0.667 0.667 0.999
Ca1 Ca 0.251 0.251 0.246
Ca2 Ca 0.082 0.082 0.754
```

=====

Version 2
The following is a DFT calculation (PBE-GGA) of a relaxed BaSrCa2 crystal.

Summary:
ρ in Mg/m³: 2.58
Crystal system: cubic

Geometry as CIF:
```
data_BaSrCa2
_chemical_formula_sum 'Ba1 Sr1 Ca2'
_cell_length_a 6.523
_cell_length_b 6.523
_cell_length_c 6.523
_cell_angle_alpha 60.00
_cell_angle_beta 60.00
_cell_angle_gamma 60.00
_symmetry_space_group_name_H-M 'P 1'
_symmetry_Int_Tables_number 1
loop_
_symmetry_equiv_pos_as_xyz
'x,y,z'
loop_
_atom_site_label
_atom_site_type_symbol
_atom_site_fract_x
_atom_site_fract_y
_atom_site_fract_z
Ca1 Ca 0.750 0.750 0.750
Ca2 Ca 0.000 0.000 0.000
Ba1 Ba 0.500 0.500 0.500
Sr1 Sr 0.250 0.250 0.250
```

=====

Version 3
The following is a DFT calculation (PBE-GGA) of a relaxed BaSrCa2 crystal.

Summary:
ρ in Mg/m³: 2.57
Crystal system: monoclinic

Geometry as CIF:
```
data_BaSrCa2
_chemical_formula_sum 'Ba1 Sr1 Ca2'
_cell_length_a 6.402
_cell_length_b 3.997
_cell_length_c 7.884
_cell_angle_alpha 77.48
_cell_angle_beta 90.00
_cell_angle_gamma 90.00
_symmetry_space_group_name_H-M 'P 1'
_symmetry_Int_Tables_number 1
loop_
_symmetry_equiv_pos_as_xyz
'x,y,z'
loop_
_atom_site_label
_atom_site_type_symbol
_atom_site_fract_x
_atom_site_fract_y
_atom_site_fract_z
Ca1 Ca 0.000 0.497 0.497
Ca2 Ca 0.000 0.003 0.003
Sr1 Sr 0.500 0.250 0.250
Ba1 Ba 0.500 0.750 0.750
```

=====

Version 4
The following is a DFT calculation (PBE-GGA) of a relaxed BaSrCa2 crystal.

Summary:
ρ in Mg/m³: 2.53
Crystal system: tetragonal

Geometry as CIF:
```
data_BaSrCa2
_chemical_formula_sum 'Ba1 Sr1 Ca2'
_cell_length_a 4.707
_cell_length_b 4.707
_cell_length_c 9.035
_cell_angle_alpha 90.00
_cell_angle_beta 90.00
_cell_angle_gamma 90.00
_symmetry_space_group_name_H-M 'P 1'
_symmetry_Int_Tables_number 1
loop_
_symmetry_equiv_pos_as_xyz
'x,y,z'
loop_
_atom_site_label
_atom_site_type_symbol
_atom_site_fract_x
_atom_site_fract_y
_atom_site_fract_z
Ba1 Ba 0.500 0.500 0.765
Sr1 Sr 0.000 0.000 0.476
Ca1 Ca 0.000 0.000 0.023
Ca2 Ca 0.500 0.500 0.236
```

=====

Most stable = version 4